Record 1
First-principles (PBE-GGA) data for a geometry-optimized AcTlAgPt structure, as listed in Alexandria.

Summary:
E_form	-0.399	eV per atom

Cell and atoms, written as POSCAR:
```
AcTlAgPt
1.0
5.2060 0.0000 0.0000
2.6030 4.5085 0.0000
2.6030 1.5028 4.2507
Ag Tl Ac Pt
1 1 1 1
direct
0.2500 0.2500 0.2500
0.5000 0.5000 0.5000
0.0000 0.0000 0.0000
0.7500 0.7500 0.7500
```

---

Record 2
First-principles (PBE-GGA) data for a geometry-optimized AcTmAgPt structure, as listed in Alexandria.

Summary:
E_form	-0.645	eV per atom

Cell and atoms, written as POSCAR:
```
AcTmAgPt
1.0
-0.0854 2.1839 -4.7554
-3.6657 -1.4071 -3.4603
-3.8171 3.3460 -1.2748
Ag Ac Pt Tm
1 1 1 1
direct
0.7500 0.7500 0.7500
0.5000 0.5000 0.5000
0.2500 0.2500 0.2500
0.0000 0.0000 0.0000
```

---

| no. | volume (Å³/cell) |
| --- | --- |
| 1 | 100 |
| 2 | 101 |